Record 1
Here is a relaxed structure of AgHg2Te3 from Alexandria via LeMat-Bulk. Energies are from PBE.

## Properties
Uncorrected energy = -2.236 eV/atom
E_form (uncorrected) = -0.0894 eV/atom

Cell: 4.620 13.840 6.522 Å, 90.00 90.00 90.00°
Space group Imm2 (No. 44)
Unique sites:
Ag: 0.000 0.000 0.000 [2 per cell]
Hg: 0.000 0.334 0.989 [4 per cell]
Te: 0.000 0.162 0.748 [4 per cell]
Te: 0.000 0.500 0.730 [2 per cell]

Record 2
Here is a relaxed structure of Ag2HgTe2 from Alexandria via LeMat-Bulk. Energies are from PBE.

## Properties
Uncorrected energy = -2.528 eV/atom
E_form (uncorrected) = -0.0704 eV/atom
Energy above the most stable polymorph in this dataset = 0.000 eV per atom

Cell: 4.827 7.513 9.026 Å, 76.87 82.45 88.82°
Space group P-1 (No. 2)
Unique sites:
Ag: 0.183 0.443 0.366 [2 per cell]
Ag: 0.300 0.351 0.715 [2 per cell]
Hg: 0.281 0.812 0.886 [2 per cell]
Te: 0.218 0.838 0.185 [2 per cell]
Te: 0.322 0.754 0.597 [2 per cell]